w:
# LaEu2Al

Crystalline LaEu2Al at its relaxed geometry (PBE, Alexandria via LeMat-Bulk).

The structure belongs to space group Fm-3m (No. 225); the cell edges are 7.873, 7.873 and 7.873 Å and the angles 90.00°, 90.00° and 90.00°. Symmetry generates all atoms from La at (0.000, 0.000, 0.000), Eu at (0.250, 0.250, 0.250) and Al at (0.000, 0.000, 0.500).

Its calculated volume is 30.50 A^3/atom. The total magnetization is 15.9 μB per formula unit.

***

x:
# LaEu2Al

Crystalline LaEu2Al at its relaxed geometry (PBE, Alexandria via LeMat-Bulk).

The structure belongs to space group P4/mmm (No. 123); the cell edges are 4.923, 4.923 and 5.194 Å and the angles 90.00°, 90.00° and 90.00°. Symmetry generates all atoms from La at (0.000, 0.000, 0.000), Eu at (0.000, 0.500, 0.500) and Al at (0.500, 0.500, 0.000).

Its calculated volume is 31.47 A^3/atom. The total magnetization is 14.5 μB per formula unit.

***

y:
# LaEu2Al

Crystalline LaEu2Al at its relaxed geometry (PBE, Alexandria via LeMat-Bulk).

The structure belongs to space group P4/mmm (No. 123); the cell edges are 3.779, 3.779 and 9.217 Å and the angles 90.00°, 90.00° and 90.00°. Symmetry generates all atoms from La at (0.000, 0.000, 0.000), Eu at (0.500, 0.500, 0.301) and Al at (0.000, 0.000, 0.500).

Its calculated volume is 32.91 A^3/atom. The total magnetization is 14.4 μB per formula unit.

***

Which structure loses on stability? w does.

***

w:
# LiEuAl

Crystalline LiEuAl at its relaxed geometry (PBE, Alexandria via LeMat-Bulk).

The structure belongs to space group I4mm (No. 107); the cell edges are 3.635, 3.635 and 11.132 Å and the angles 90.00°, 90.00° and 90.00°. Symmetry generates all atoms from Li at (0.000, 0.000, 0.000), Eu at (0.000, 0.000, 0.708) and Al at (0.000, 0.000, 0.394).

Its calculated volume is 24.51 A^3/atom. The total magnetization is 7.2 μB per formula unit.

***

x:
# LiEuAl

Crystalline LiEuAl at its relaxed geometry (PBE, Alexandria via LeMat-Bulk).

The structure belongs to space group P3m1 (No. 156); the cell edges are 5.0613, 5.0613 and 3.2181 Å and the angles 90.00°, 90.00° and 120.00°. Symmetry generates all atoms from Li at (0.0000, 0.0000, 0.0000), Eu at (0.3333, 0.6667, 0.5020) and Al at (0.6667, 0.3333, 0.0028).

Its calculated volume is 23.80 A^3/atom. The total magnetization is 7.1 μB per formula unit.

***

Which structure loses on stability? w does.

***

w:
# LiEuAl2

Crystalline LiEuAl2 at its relaxed geometry (PBE, Alexandria via LeMat-Bulk).

The structure belongs to space group Fm-3m (No. 225); the cell edges are 7.019, 7.019 and 7.019 Å and the angles 90.00°, 90.00° and 90.00°. Symmetry generates all atoms from Li at (0.000, 0.000, 0.000), Eu at (0.000, 0.000, 0.500) and Al at (0.250, 0.250, 0.250).

Its calculated volume is 21.62 A^3/atom. The total magnetization is 6.9 μB per formula unit.

***

x:
# LiEuAl2

Crystalline LiEuAl2 at its relaxed geometry (PBE, Alexandria via LeMat-Bulk).

The structure belongs to space group P4/mmm (No. 123); the cell edges are 4.883, 4.883 and 3.838 Å and the angles 90.00°, 90.00° and 90.00°. Symmetry generates all atoms from Li at (0.000, 0.000, 0.000), Eu at (0.500, 0.500, 0.000) and Al at (0.000, 0.500, 0.500).

Its calculated volume is 22.88 A^3/atom. The total magnetization is 7.1 μB per formula unit.

***

Which structure loses on stability? x does.

***

w:
# EuLu2Al

Crystalline EuLu2Al at its relaxed geometry (PBE, Alexandria via LeMat-Bulk).

The structure belongs to space group R-3m (No. 166, hexagonal axes); the cell edges are 3.4614, 3.4614 and 34.0594 Å and the angles 90.00°, 90.00° and 120.00°. Symmetry generates all atoms from Eu at (0.0000, 0.0000, 0.0000), Lu at (0.0000, 0.0000, 0.1010) and Al at (0.0000, 0.0000, 0.5000).

Its calculated volume is 29.45 A^3/atom. The total magnetization is 7.6 μB per formula unit.

***

x:
# EuLu2Al

Crystalline EuLu2Al at its relaxed geometry (PBE, Alexandria via LeMat-Bulk).

The structure belongs to space group Fm-3m (No. 225); the cell edges are 7.528, 7.528 and 7.528 Å and the angles 90.00°, 90.00° and 90.00°. Symmetry generates all atoms from Eu at (0.000, 0.000, 0.000), Lu at (0.250, 0.250, 0.250) and Al at (0.000, 0.000, 0.500).

Its calculated volume is 26.66 A^3/atom. The total magnetization is 7.1 μB per formula unit.

***

y:
# EuLu2Al

Crystalline EuLu2Al at its relaxed geometry (PBE, Alexandria via LeMat-Bulk).

The structure belongs to space group P4/mmm (No. 123); the cell edges are 3.502, 3.502 and 9.207 Å and the angles 90.00°, 90.00° and 90.00°. Symmetry generates all atoms from Eu at (0.000, 0.000, 0.000), Lu at (0.500, 0.500, 0.303) and Al at (0.000, 0.000, 0.500).

Its calculated volume is 28.23 A^3/atom. The total magnetization is 7.2 μB per formula unit.

***

z:
# EuLu2Al

Crystalline EuLu2Al at its relaxed geometry (PBE, Alexandria via LeMat-Bulk).

The structure belongs to space group P4/mmm (No. 123); the cell edges are 4.803, 4.803 and 4.684 Å and the angles 90.00°, 90.00° and 90.00°. Symmetry generates all atoms from Eu at (0.000, 0.000, 0.000), Lu at (0.000, 0.500, 0.500) and Al at (0.500, 0.500, 0.000).

Its calculated volume is 27.01 A^3/atom. The total magnetization is 7.5 μB per formula unit.

***

Which structure loses on stability? w does.

***

w:
# EuLuAl

Crystalline EuLuAl at its relaxed geometry (PBE, Alexandria via LeMat-Bulk).

The structure belongs to space group I4mm (No. 107); the cell edges are 3.634, 3.634 and 12.810 Å and the angles 90.00°, 90.00° and 90.00°. Symmetry generates all atoms from Eu at (0.000, 0.000, 0.000), Lu at (0.000, 0.000, 0.284) and Al at (0.000, 0.000, 0.659).

Its calculated volume is 28.20 A^3/atom. The total magnetization is 7.2 μB per formula unit.

***

x:
# EuLuAl

Crystalline EuLuAl at its relaxed geometry (PBE, Alexandria via LeMat-Bulk).

The structure belongs to space group P3m1 (No. 156); the cell edges are 5.1968, 5.1968 and 3.4857 Å and the angles 90.00°, 90.00° and 120.00°. Symmetry generates all atoms from Eu at (0.0000, 0.0000, 0.0000), Lu at (0.3333, 0.6667, 0.5732) and Al at (0.6667, 0.3333, 0.3672).

Its calculated volume is 27.17 A^3/atom. The total magnetization is 7.2 μB per formula unit.

***

Which structure loses on stability? x does.

***

w:
# NaEu2Al

Crystalline NaEu2Al at its relaxed geometry (PBE, Alexandria via LeMat-Bulk).

The structure belongs to space group Fm-3m (No. 225); the cell edges are 7.955, 7.955 and 7.955 Å and the angles 90.00°, 90.00° and 90.00°. Symmetry generates all atoms from Na at (0.000, 0.000, 0.000), Eu at (0.250, 0.250, 0.250) and Al at (0.000, 0.000, 0.500).

Its calculated volume is 31.46 A^3/atom. The total magnetization is 14.2 μB per formula unit.

***

x:
# NaEu2Al

Crystalline NaEu2Al at its relaxed geometry (PBE, Alexandria via LeMat-Bulk).

The structure belongs to space group R-3m (No. 166, hexagonal axes); the cell edges are 3.7023, 3.7023 and 36.2474 Å and the angles 90.00°, 90.00° and 120.00°. Symmetry generates all atoms from Na at (0.0000, 0.0000, 0.0000), Eu at (0.0000, 0.0000, 0.1006) and Al at (0.0000, 0.0000, 0.5000).

Its calculated volume is 35.86 A^3/atom. The total magnetization is 14.8 μB per formula unit.

***

Which structure loses on stability? x does.

***

w:
# NaEu2Al

Crystalline NaEu2Al at its relaxed geometry (PBE, Alexandria via LeMat-Bulk).

The structure belongs to space group P4/mmm (No. 123); the cell edges are 3.852, 3.852 and 9.103 Å and the angles 90.00°, 90.00° and 90.00°. Symmetry generates all atoms from Na at (0.000, 0.000, 0.000), Eu at (0.500, 0.500, 0.303) and Al at (0.000, 0.000, 0.500).

Its calculated volume is 33.76 A^3/atom. The total magnetization is 14.3 μB per formula unit.

***

x:
# NaEu2Al

Crystalline NaEu2Al at its relaxed geometry (PBE, Alexandria via LeMat-Bulk).

The structure belongs to space group P4/mmm (No. 123); the cell edges are 5.579, 5.579 and 4.046 Å and the angles 90.00°, 90.00° and 90.00°. Symmetry generates all atoms from Na at (0.000, 0.000, 0.000), Eu at (0.000, 0.500, 0.500) and Al at (0.500, 0.500, 0.000).

Its calculated volume is 31.48 A^3/atom. The total magnetization is 14.7 μB per formula unit.

***

Which structure loses on stability? x does.

***

w:
# NdEuAl2

Crystalline NdEuAl2 at its relaxed geometry (PBE, Alexandria via LeMat-Bulk).

The structure belongs to space group Fm-3m (No. 225); the cell edges are 7.499, 7.499 and 7.499 Å and the angles 90.00°, 90.00° and 90.00°. Symmetry generates all atoms from Nd at (0.000, 0.000, 0.000), Eu at (0.000, 0.000, 0.500) and Al at (0.250, 0.250, 0.250).

Its calculated volume is 26.35 A^3/atom. The total magnetization is 7.0 μB per formula unit.

***

x:
# NdEuAl2

Crystalline NdEuAl2 at its relaxed geometry (PBE, Alexandria via LeMat-Bulk).

The structure belongs to space group R-3m (No. 166, hexagonal axes); the cell edges are 3.6792, 3.6792 and 29.1837 Å and the angles 90.00°, 90.00° and 120.00°. Symmetry generates all atoms from Nd at (0.0000, 0.0000, 0.0000), Eu at (0.0000, 0.0000, 0.5000) and Al at (0.0000, 0.0000, 0.2510).

Its calculated volume is 28.51 A^3/atom. The total magnetization is 7.2 μB per formula unit.

***

Which structure loses on stability? x does.

***

w:
# PrEuAl2

Crystalline PrEuAl2 at its relaxed geometry (PBE, Alexandria via LeMat-Bulk).

The structure belongs to space group P4/mmm (No. 123); the cell edges are 3.758, 3.758 and 7.587 Å and the angles 90.00°, 90.00° and 90.00°. Symmetry generates all atoms from Pr at (0.000, 0.000, 0.000), Eu at (0.000, 0.000, 0.500) and Al at (0.500, 0.500, 0.247).

Its calculated volume is 26.79 A^3/atom. The total magnetization is 7.0 μB per formula unit.

***

x:
# PrEuAl2

Crystalline PrEuAl2 at its relaxed geometry (PBE, Alexandria via LeMat-Bulk).

The structure belongs to space group R-3m (No. 166, hexagonal axes); the cell edges are 3.6957, 3.6957 and 29.2700 Å and the angles 90.00°, 90.00° and 120.00°. Symmetry generates all atoms from Pr at (0.0000, 0.0000, 0.0000), Eu at (0.0000, 0.0000, 0.5000) and Al at (0.0000, 0.0000, 0.2505).

Its calculated volume is 28.85 A^3/atom. The total magnetization is 7.2 μB per formula unit.

***

y:
# PrEuAl2

Crystalline PrEuAl2 at its relaxed geometry (PBE, Alexandria via LeMat-Bulk).

The structure belongs to space group Fm-3m (No. 225); the cell edges are 7.531, 7.531 and 7.531 Å and the angles 90.00°, 90.00° and 90.00°. Symmetry generates all atoms from Pr at (0.000, 0.000, 0.000), Eu at (0.000, 0.000, 0.500) and Al at (0.250, 0.250, 0.250).

Its calculated volume is 26.69 A^3/atom. The total magnetization is 7.1 μB per formula unit.

***

Which structure loses on stability? x does.

***

w:
# Pr2EuAl

Crystalline Pr2EuAl at its relaxed geometry (PBE, Alexandria via LeMat-Bulk).

The structure belongs to space group P4/mmm (No. 123); the cell edges are 3.767, 3.767 and 9.186 Å and the angles 90.00°, 90.00° and 90.00°. Symmetry generates all atoms from Pr at (0.000, 0.000, 0.199), Eu at (0.500, 0.500, 0.500) and Al at (0.500, 0.500, 0.000).

Its calculated volume is 32.59 A^3/atom. The total magnetization is 8.0 μB per formula unit.

***

x:
# Pr2EuAl

Crystalline Pr2EuAl at its relaxed geometry (PBE, Alexandria via LeMat-Bulk).

The structure belongs to space group Fm-3m (No. 225); the cell edges are 7.872, 7.872 and 7.872 Å and the angles 90.00°, 90.00° and 90.00°. Symmetry generates all atoms from Pr at (0.250, 0.250, 0.250), Eu at (0.000, 0.000, 0.000) and Al at (0.000, 0.000, 0.500).

Its calculated volume is 30.49 A^3/atom. The total magnetization is 7.2 μB per formula unit.

***

y:
# Pr2EuAl

Crystalline Pr2EuAl at its relaxed geometry (PBE, Alexandria via LeMat-Bulk).

The structure belongs to space group P4/mmm (No. 123); the cell edges are 5.026, 5.026 and 4.821 Å and the angles 90.00°, 90.00° and 90.00°. Symmetry generates all atoms from Pr at (0.000, 0.500, 0.000), Eu at (0.000, 0.000, 0.500) and Al at (0.500, 0.500, 0.500).

Its calculated volume is 30.44 A^3/atom. The total magnetization is 7.2 μB per formula unit.

***

Which structure loses on stability? x does.